1.
This record from Alexandria via LeMat-Bulk describes a relaxed structure of GdZr2Be. The functional is PBE-GGA. Values from VASP.

Energy above the most stable polymorph in this dataset in eV per formula unit: 0.000
Symmetry: P4/mmm

The structure in Quantum ESPRESSO input format:
```
&SYSTEM
  ibrav = 0, nat = 4, ntyp = 3
/
ATOMIC_SPECIES
Be 9.01 Be.upf
Gd 157.25 Gd.upf
Zr 91.22 Zr.upf
CELL_PARAMETERS angstrom
3.209 0.000 0.000
0.000 3.209 0.000
0.000 0.000 8.205
ATOMIC_POSITIONS crystal
Be 0.500 0.500 0.000
Gd 0.500 0.500 0.500
Zr 0.000 0.000 0.807
Zr 0.000 0.000 0.193
```



2.
This record from Alexandria via LeMat-Bulk describes a relaxed structure of GdZr2Be. The functional is PBE-GGA. Values from VASP.

Energy above the most stable polymorph in this dataset in eV per formula unit: 1.047
Symmetry: R-3m

The structure in Quantum ESPRESSO input format:
```
&SYSTEM
  ibrav = 0, nat = 4, ntyp = 3
/
ATOMIC_SPECIES
Be 9.01 Be.upf
Gd 157.25 Gd.upf
Zr 91.22 Zr.upf
CELL_PARAMETERS angstrom
-1.739 0.363 -2.710
0.863 -1.569 -2.701
-6.083 -8.188 0.868
ATOMIC_POSITIONS crystal
Be 0.500 0.500 0.500
Gd 0.000 0.000 0.000
Zr 0.108 0.108 0.677
Zr 0.892 0.892 0.323
```



3.
This record from Alexandria via LeMat-Bulk describes a relaxed structure of BeGe. The functional is PBE-GGA. Values from VASP.

Energy above the most stable polymorph in this dataset in eV per formula unit: 0.410
Symmetry: Fddd

The structure in Quantum ESPRESSO input format:
```
&SYSTEM
  ibrav = 0, nat = 32, ntyp = 2
/
ATOMIC_SPECIES
Be 9.01 Be.upf
Ge 72.64 Ge.upf
CELL_PARAMETERS angstrom
-3.446 0.669 4.869
-5.471 -3.695 -3.364
3.538 -8.592 3.685
ATOMIC_POSITIONS crystal
Be 0.187 0.000 0.000
Be 0.813 0.000 0.000
Be 0.063 0.750 0.250
Be 0.437 0.750 0.250
Be 0.187 0.500 0.500
Be 0.813 0.500 0.500
Be 0.063 0.250 0.750
Be 0.437 0.250 0.750
Be 0.687 0.000 0.500
Be 0.313 0.000 0.500
Be 0.563 0.750 0.750
Be 0.937 0.750 0.750
Be 0.687 0.500 0.000
Be 0.313 0.500 0.000
Be 0.563 0.250 0.250
Be 0.937 0.250 0.250
Ge 0.000 0.713 0.000
Ge 0.000 0.287 0.000
Ge 0.250 0.037 0.250
Ge 0.250 0.463 0.250
Ge 0.000 0.213 0.500
Ge 0.000 0.787 0.500
Ge 0.250 0.537 0.750
Ge 0.250 0.963 0.750
Ge 0.500 0.713 0.500
Ge 0.500 0.287 0.500
Ge 0.750 0.037 0.750
Ge 0.750 0.463 0.750
Ge 0.500 0.213 0.000
Ge 0.500 0.787 0.000
Ge 0.750 0.537 0.250
Ge 0.750 0.963 0.250
```



4.
This record from Alexandria via LeMat-Bulk describes a relaxed structure of Be6Ge. The functional is PBE-GGA. Values from VASP.

Symmetry: Im-3m

The structure in Quantum ESPRESSO input format:
```
&SYSTEM
  ibrav = 0, nat = 7, ntyp = 2
/
ATOMIC_SPECIES
Be 9.01 Be.upf
Ge 72.64 Ge.upf
CELL_PARAMETERS angstrom
-2.859 -3.671 1.782
4.705 -0.689 1.487
-1.658 4.376 1.710
ATOMIC_POSITIONS crystal
Be 0.250 0.750 0.500
Be 0.500 0.750 0.250
Be 0.250 0.500 0.750
Be 0.750 0.250 0.500
Be 0.500 0.250 0.750
Be 0.750 0.500 0.250
Ge 0.000 0.000 0.000
```



5.
This record from Alexandria via LeMat-Bulk describes a relaxed structure of BeGe. The functional is PBE-GGA. Values from VASP.

Energy above the most stable polymorph in this dataset in eV per formula unit: 0.103
Symmetry: Aem2

The structure in Quantum ESPRESSO input format:
```
&SYSTEM
  ibrav = 0, nat = 8, ntyp = 2
/
ATOMIC_SPECIES
Be 9.01 Be.upf
Ge 72.64 Ge.upf
CELL_PARAMETERS angstrom
4.179 0.000 0.000
0.000 3.980 0.000
0.000 0.000 7.070
ATOMIC_POSITIONS crystal
Be 0.656 0.250 0.269
Be 0.344 0.750 0.269
Be 0.656 0.750 0.769
Be 0.344 0.250 0.769
Ge 0.200 0.250 0.078
Ge 0.800 0.750 0.078
Ge 0.200 0.750 0.578
Ge 0.800 0.250 0.578
```



6.
This record from Alexandria via LeMat-Bulk describes a relaxed structure of BeGe. The functional is PBE-GGA. Values from VASP.

Energy above the most stable polymorph in this dataset in eV per formula unit: 0.175
Symmetry: P2_12_12_1

The structure in Quantum ESPRESSO input format:
```
&SYSTEM
  ibrav = 0, nat = 16, ntyp = 2
/
ATOMIC_SPECIES
Be 9.01 Be.upf
Ge 72.64 Ge.upf
CELL_PARAMETERS angstrom
5.531 0.000 0.000
0.000 5.718 0.000
0.000 0.000 7.267
ATOMIC_POSITIONS crystal
Be 0.101 0.531 0.600
Be 0.601 0.969 0.400
Be 0.899 0.031 0.900
Be 0.399 0.469 0.100
Be 0.283 0.090 0.190
Be 0.783 0.410 0.810
Be 0.717 0.590 0.310
Be 0.217 0.910 0.690
Ge 0.567 0.669 0.622
Ge 0.067 0.831 0.378
Ge 0.433 0.169 0.878
Ge 0.933 0.331 0.122
Ge 0.403 0.340 0.419
Ge 0.903 0.160 0.581
Ge 0.597 0.840 0.081
Ge 0.097 0.660 0.919
```



7.
This record from Alexandria via LeMat-Bulk describes a relaxed structure of BeGe. The functional is PBE-GGA. Values from VASP.

Energy above the most stable polymorph in this dataset in eV per formula unit: 0.033
Symmetry: Cmme

The structure in Quantum ESPRESSO input format:
```
&SYSTEM
  ibrav = 0, nat = 8, ntyp = 2
/
ATOMIC_SPECIES
Be 9.01 Be.upf
Ge 72.64 Ge.upf
CELL_PARAMETERS angstrom
4.110 0.000 0.000
0.000 7.016 0.000
0.000 0.000 4.060
ATOMIC_POSITIONS crystal
Be 0.250 0.000 0.500
Be 0.750 0.000 0.500
Be 0.750 0.500 0.500
Be 0.250 0.500 0.500
Ge 0.000 0.250 0.807
Ge 0.000 0.750 0.193
Ge 0.500 0.250 0.193
Ge 0.500 0.750 0.807
```



8.
This record from Alexandria via LeMat-Bulk describes a relaxed structure of BeGe. The functional is PBE-GGA. Values from VASP.

Energy above the most stable polymorph in this dataset in eV per formula unit: 0.303
Symmetry: Pmn2_1

The structure in Quantum ESPRESSO input format:
```
&SYSTEM
  ibrav = 0, nat = 12, ntyp = 2
/
ATOMIC_SPECIES
Be 9.01 Be.upf
Ge 72.64 Ge.upf
CELL_PARAMETERS angstrom
-6.198 -6.238 -1.059
0.815 -1.482 3.960
-3.132 2.824 1.701
ATOMIC_POSITIONS crystal
Be 0.767 0.370 0.652
Be 0.733 0.630 0.152
Be 0.233 0.370 0.652
Be 0.267 0.630 0.152
Be 0.000 0.141 0.620
Be 0.500 0.859 0.120
Ge 0.846 0.131 0.174
Ge 0.654 0.869 0.674
Ge 0.154 0.131 0.174
Ge 0.346 0.869 0.674
Ge 0.000 0.640 0.729
Ge 0.500 0.360 0.229
```



9.
This record from Alexandria via LeMat-Bulk describes a relaxed structure of BeGe. The functional is PBE-GGA. Values from VASP.

Energy above the most stable polymorph in this dataset in eV per formula unit: 0.982
Symmetry: F-43m

The structure in Quantum ESPRESSO input format:
```
&SYSTEM
  ibrav = 0, nat = 8, ntyp = 2
/
ATOMIC_SPECIES
Be 9.01 Be.upf
Ge 72.64 Ge.upf
CELL_PARAMETERS angstrom
-2.148 3.452 3.310
-3.267 -3.710 1.748
3.493 -1.346 3.671
ATOMIC_POSITIONS crystal
Be 0.250 0.250 0.250
Be 0.250 0.750 0.750
Be 0.750 0.250 0.750
Be 0.750 0.750 0.250
Ge 0.000 0.000 0.000
Ge 0.000 0.500 0.500
Ge 0.500 0.000 0.500
Ge 0.500 0.500 0.000
```



10.
This record from Alexandria via LeMat-Bulk describes a relaxed structure of BeGe. The functional is PBE-GGA. Values from VASP.

Energy above the most stable polymorph in this dataset in eV per formula unit: 0.540
Symmetry: P4_2/mnm

The structure in Quantum ESPRESSO input format:
```
&SYSTEM
  ibrav = 0, nat = 8, ntyp = 2
/
ATOMIC_SPECIES
Be 9.01 Be.upf
Ge 72.64 Ge.upf
CELL_PARAMETERS angstrom
4.854 0.000 0.000
0.000 4.854 0.000
0.000 0.000 4.854
ATOMIC_POSITIONS crystal
Be 0.749 0.251 0.000
Be 0.249 0.249 0.500
Be 0.751 0.751 0.500
Be 0.251 0.749 0.000
Ge 0.752 0.752 0.000
Ge 0.252 0.748 0.500
Ge 0.748 0.252 0.500
Ge 0.248 0.248 0.000
```



11.
This record from Alexandria via LeMat-Bulk describes a relaxed structure of BeGe. The functional is PBE-GGA. Values from VASP.

Energy above the most stable polymorph in this dataset in eV per formula unit: 1.111
Symmetry: Pm-3n

The structure in Quantum ESPRESSO input format:
```
&SYSTEM
  ibrav = 0, nat = 12, ntyp = 2
/
ATOMIC_SPECIES
Be 9.01 Be.upf
Ge 72.64 Ge.upf
CELL_PARAMETERS angstrom
6.433 0.000 0.000
0.000 6.433 0.000
0.000 0.000 6.433
ATOMIC_POSITIONS crystal
Be 0.250 0.500 0.000
Be 0.750 0.500 0.000
Be 0.500 0.000 0.250
Be 0.500 0.000 0.750
Be 0.000 0.250 0.500
Be 0.000 0.750 0.500
Ge 0.250 0.000 0.500
Ge 0.750 0.000 0.500
Ge 0.000 0.500 0.250
Ge 0.000 0.500 0.750
Ge 0.500 0.250 0.000
Ge 0.500 0.750 0.000
```



12.
This record from Alexandria via LeMat-Bulk describes a relaxed structure of BeGe. The functional is PBE-GGA. Values from VASP.

Energy above the most stable polymorph in this dataset in eV per formula unit: 0.213
Symmetry: Fmm2

The structure in Quantum ESPRESSO input format:
```
&SYSTEM
  ibrav = 0, nat = 2, ntyp = 2
/
ATOMIC_SPECIES
Be 9.01 Be.upf
Ge 72.64 Ge.upf
CELL_PARAMETERS angstrom
-2.756 -0.783 0.295
-0.346 -3.104 2.680
-0.002 0.993 2.703
ATOMIC_POSITIONS crystal
Be 0.523 0.597 0.305
Ge 0.836 0.968 0.619
```



The following energy relative to the elements values (in kJ/mol of atoms) correspond, in order, to the records above: 7.71, 32.96, 40.03, 117.24, 25.20, 28.66, 21.83, 34.85, 67.61, 46.28, 73.84, 30.51.